1:
# RbNaLi2

RbNaLi2 after structural relaxation (PBE, Alexandria).

a b c (Å): 5.533 5.533 19.949
angles (deg): 90.00 90.00 120.00
Sites, in units of the cell vectors:
Rb  0.000  0.000  0.000
Rb  0.333  0.667  0.667
Rb  0.667  0.333  0.333
Na  0.000  0.000  0.500
Na  0.333  0.667  0.167
Na  0.667  0.333  0.833
Li  0.000  0.000  0.191
Li  0.000  0.000  0.809
Li  0.333  0.667  0.475
Li  0.333  0.667  0.858
Li  0.667  0.333  0.142
Li  0.667  0.333  0.525



2:
# RbNaLi2

RbNaLi2 after structural relaxation (PBE, Alexandria).

a b c (Å): 5.411 5.411 5.499
angles (deg): 90.00 90.00 90.00
Sites, in units of the cell vectors:
Rb  0.000  0.000  0.000
Na  0.500  0.500  0.000
Li  0.000  0.500  0.500
Li  0.500  0.000  0.500



In terms of stability, 1 leads; the second structure lies 6.1 kJ/mol of atoms higher.



1:
# Rb2NaLi2

Rb2NaLi2 after structural relaxation (PBE, Alexandria).

a b c (Å): 4.331 4.331 26.004
angles (deg): 90.00 90.00 90.00
Sites, in units of the cell vectors:
Rb  0.000  0.000  0.120
Rb  0.000  0.000  0.880
Rb  0.500  0.500  0.380
Rb  0.500  0.500  0.620
Na  0.000  0.000  0.500
Na  0.500  0.500  0.000
Li  0.000  0.500  0.250
Li  0.000  0.500  0.750
Li  0.500  0.000  0.250
Li  0.500  0.000  0.750



2:
# Rb2NaLi2

Rb2NaLi2 after structural relaxation (PBE, Alexandria).

a b c (Å): 8.799 8.799 6.339
angles (deg): 90.00 90.00 90.00
Sites, in units of the cell vectors:
Rb  0.181  0.319  0.000
Rb  0.319  0.819  0.000
Rb  0.681  0.181  0.000
Rb  0.819  0.681  0.000
Na  0.000  0.000  0.500
Na  0.500  0.500  0.500
Li  0.123  0.623  0.500
Li  0.377  0.123  0.500
Li  0.623  0.877  0.500
Li  0.877  0.377  0.500



In terms of stability, 1 leads; the second structure lies 1.7 kJ/mol of atoms higher.



1:
# Rb2NaLi2

Rb2NaLi2 after structural relaxation (PBE, Alexandria).

a b c (Å): 5.998 5.998 15.508
angles (deg): 90.00 90.00 90.00
Sites, in units of the cell vectors:
Rb  0.000  0.500  0.250
Rb  0.000  0.500  0.750
Rb  0.500  0.000  0.250
Rb  0.500  0.000  0.750
Na  0.000  0.000  0.000
Na  0.500  0.500  0.500
Li  0.000  0.000  0.412
Li  0.000  0.000  0.588
Li  0.500  0.500  0.088
Li  0.500  0.500  0.912



2:
# Rb2NaLi2

Rb2NaLi2 after structural relaxation (PBE, Alexandria).

a b c (Å): 11.411 11.411 3.931
angles (deg): 90.00 90.00 90.00
Sites, in units of the cell vectors:
Rb  0.192  0.308  0.000
Rb  0.308  0.808  0.000
Rb  0.692  0.192  0.000
Rb  0.808  0.692  0.000
Na  0.000  0.000  0.000
Na  0.500  0.500  0.000
Li  0.095  0.595  0.500
Li  0.405  0.095  0.500
Li  0.595  0.905  0.500
Li  0.905  0.405  0.500



In terms of stability, 2 leads; the second structure lies 6.9 kJ/mol of atoms higher.



1:
# RbNa2LiSb

RbNa2LiSb after structural relaxation (PBE, Alexandria).

a b c (Å): 5.788 5.788 5.145
angles (deg): 90.00 90.00 90.00
Sites, in units of the cell vectors:
Rb  0.000  0.000  0.000
Na  0.000  0.500  0.500
Na  0.500  0.000  0.500
Li  0.500  0.500  0.500
Sb  0.500  0.500  0.000



2:
# RbNa2LiSb

RbNa2LiSb after structural relaxation (PBE, Alexandria).

a b c (Å): 6.120 6.120 5.414
angles (deg): 90.00 90.00 90.00
Sites, in units of the cell vectors:
Rb  0.000  0.000  0.000
Na  0.000  0.500  0.500
Na  0.500  0.000  0.500
Li  0.500  0.500  0.000
Sb  0.500  0.500  0.500



In terms of stability, 2 leads; the second structure lies 7.2 kJ/mol of atoms higher.



1:
# RbNa2LiSn

RbNa2LiSn after structural relaxation (PBE, Alexandria).

a b c (Å): 6.017 6.017 5.491
angles (deg): 90.00 90.00 90.00
Sites, in units of the cell vectors:
Rb  0.000  0.000  0.000
Na  0.000  0.500  0.500
Na  0.500  0.000  0.500
Li  0.500  0.500  0.000
Sn  0.500  0.500  0.500



2:
# RbNa2LiSn

RbNa2LiSn after structural relaxation (PBE, Alexandria).

a b c (Å): 5.810 5.810 5.197
angles (deg): 90.00 90.00 90.00
Sites, in units of the cell vectors:
Rb  0.000  0.000  0.000
Na  0.000  0.500  0.500
Na  0.500  0.000  0.500
Li  0.500  0.500  0.500
Sn  0.500  0.500  0.000



In terms of stability, 1 leads; the second structure lies 7.9 kJ/mol of atoms higher.



1:
# RbNa2LiTl

RbNa2LiTl after structural relaxation (PBE, Alexandria).

a b c (Å): 6.086 6.086 5.603
angles (deg): 90.00 90.00 90.00
Sites, in units of the cell vectors:
Rb  0.000  0.000  0.000
Na  0.000  0.500  0.500
Na  0.500  0.000  0.500
Li  0.500  0.500  0.000
Tl  0.500  0.500  0.500



2:
# RbNa2LiTl

RbNa2LiTl after structural relaxation (PBE, Alexandria).

a b c (Å): 5.895 5.895 5.468
angles (deg): 90.00 90.00 90.00
Sites, in units of the cell vectors:
Rb  0.000  0.000  0.000
Na  0.000  0.500  0.500
Na  0.500  0.000  0.500
Li  0.500  0.500  0.500
Tl  0.500  0.500  0.000



In terms of stability, 1 leads; the second structure lies 2.2 kJ/mol of atoms higher.



1:
# Na3LiRe

Na3LiRe after structural relaxation (PBE, Alexandria).

a b c (Å): 5.183 5.183 5.183
angles (deg): 90.00 90.00 90.00
Sites, in units of the cell vectors:
Na  0.000  0.000  0.500
Na  0.000  0.500  0.000
Na  0.500  0.000  0.000
Li  0.000  0.000  0.000
Re  0.500  0.500  0.500



2:
# Na3LiRe

Na3LiRe after structural relaxation (PBE, Alexandria).

a b c (Å): 5.837 5.837 5.837
angles (deg): 90.00 90.00 90.00
Sites, in units of the cell vectors:
Na  0.000  0.000  0.500
Na  0.000  0.500  0.000
Na  0.500  0.000  0.000
Li  0.500  0.500  0.500
Re  0.000  0.000  0.000



In terms of stability, 2 leads; the second structure lies 4.3 kJ/mol of atoms higher.



1:
# NaLi2Re

NaLi2Re after structural relaxation (PBE, Alexandria).

a b c (Å): 7.022 7.022 5.808
angles (deg): 90.00 90.00 90.00
Sites, in units of the cell vectors:
Na  0.000  0.000  0.000
Na  0.000  0.500  0.250
Na  0.500  0.000  0.750
Na  0.500  0.500  0.500
Li  0.247  0.750  0.125
Li  0.250  0.247  0.875
Li  0.250  0.253  0.375
Li  0.253  0.750  0.625
Li  0.747  0.250  0.625
Li  0.750  0.747  0.375
Li  0.750  0.753  0.875
Li  0.753  0.250  0.125
Re  0.000  0.000  0.500
Re  0.000  0.500  0.750
Re  0.500  0.000  0.250
Re  0.500  0.500  0.000



2:
# NaLi2Re

NaLi2Re after structural relaxation (PBE, Alexandria).

a b c (Å): 6.562 6.562 6.562
angles (deg): 90.00 90.00 90.00
Sites, in units of the cell vectors:
Na  0.000  0.000  0.000
Na  0.000  0.500  0.500
Na  0.500  0.000  0.500
Na  0.500  0.500  0.000
Li  0.250  0.250  0.250
Li  0.250  0.250  0.750
Li  0.250  0.750  0.250
Li  0.250  0.750  0.750
Li  0.750  0.250  0.250
Li  0.750  0.250  0.750
Li  0.750  0.750  0.250
Li  0.750  0.750  0.750
Re  0.000  0.000  0.500
Re  0.000  0.500  0.000
Re  0.500  0.000  0.000
Re  0.500  0.500  0.500



In terms of stability, 2 leads; the second structure lies 13.0 kJ/mol of atoms higher.



1:
# NaLi2Rh

NaLi2Rh after structural relaxation (PBE, Alexandria).

a b c (Å): 2.867 2.867 30.389
angles (deg): 90.00 90.00 120.00
Sites, in units of the cell vectors:
Na  0.000  0.000  0.000
Na  0.333  0.667  0.667
Na  0.667  0.333  0.333
Li  0.000  0.000  0.101
Li  0.000  0.000  0.899
Li  0.333  0.667  0.565
Li  0.333  0.667  0.768
Li  0.667  0.333  0.232
Li  0.667  0.333  0.435
Rh  0.000  0.000  0.500
Rh  0.333  0.667  0.167
Rh  0.667  0.333  0.833



2:
# NaLi2Rh

NaLi2Rh after structural relaxation (PBE, Alexandria).

a b c (Å): 6.359 6.359 6.359
angles (deg): 90.00 90.00 90.00
Sites, in units of the cell vectors:
Na  0.000  0.000  0.000
Na  0.000  0.500  0.500
Na  0.500  0.000  0.500
Na  0.500  0.500  0.000
Li  0.250  0.250  0.250
Li  0.250  0.250  0.750
Li  0.250  0.750  0.250
Li  0.250  0.750  0.750
Li  0.750  0.250  0.250
Li  0.750  0.250  0.750
Li  0.750  0.750  0.250
Li  0.750  0.750  0.750
Rh  0.000  0.000  0.500
Rh  0.000  0.500  0.000
Rh  0.500  0.000  0.000
Rh  0.500  0.500  0.500



In terms of stability, 1 leads; the second structure lies 4.9 kJ/mol of atoms higher.



1:
# NaLi2Rh

NaLi2Rh after structural relaxation (PBE, Alexandria).

a b c (Å): 3.991 3.991 18.066
angles (deg): 90.00 90.00 90.00
Sites, in units of the cell vectors:
Na  0.000  0.000  0.000
Na  0.000  0.500  0.250
Na  0.500  0.000  0.750
Na  0.500  0.500  0.500
Li  0.210  0.250  0.625
Li  0.250  0.710  0.875
Li  0.250  0.790  0.375
Li  0.290  0.250  0.125
Li  0.710  0.750  0.125
Li  0.750  0.210  0.375
Li  0.750  0.290  0.875
Li  0.790  0.750  0.625
Rh  0.000  0.000  0.500
Rh  0.000  0.500  0.750
Rh  0.500  0.000  0.250
Rh  0.500  0.500  0.000



2:
# NaLi2Rh

NaLi2Rh after structural relaxation (PBE, Alexandria).

a b c (Å): 3.201 3.201 6.712
angles (deg): 90.00 90.00 90.00
Sites, in units of the cell vectors:
Na  0.000  0.000  0.000
Li  0.500  0.500  0.318
Li  0.500  0.500  0.682
Rh  0.000  0.000  0.500



In terms of stability, 2 leads; the second structure lies 25.8 kJ/mol of atoms higher.



1:
# NaLiRh

NaLiRh after structural relaxation (PBE, Alexandria).

a b c (Å): 9.216 4.961 6.561
angles (deg): 90.00 128.36 90.00
Sites, in units of the cell vectors:
Na  0.169  0.000  0.017
Na  0.331  0.500  0.983
Na  0.669  0.500  0.017
Na  0.831  0.000  0.983
Li  0.197  0.500  0.383
Li  0.303  0.000  0.617
Li  0.697  0.000  0.383
Li  0.803  0.500  0.617
Rh  0.000  0.250  0.500
Rh  0.000  0.750  0.500
Rh  0.500  0.250  0.500
Rh  0.500  0.750  0.500



2:
# NaLiRh

NaLiRh after structural relaxation (PBE, Alexandria).

a b c (Å): 15.071 2.808 4.863
angles (deg): 90.00 90.00 90.00
Sites, in units of the cell vectors:
Na  0.195  0.000  0.000
Na  0.195  0.500  0.500
Na  0.805  0.000  0.000
Na  0.805  0.500  0.500
Li  0.000  0.000  0.669
Li  0.000  0.500  0.169
Li  0.500  0.000  0.999
Li  0.500  0.500  0.499
Rh  0.358  0.000  0.666
Rh  0.358  0.500  0.166
Rh  0.642  0.000  0.666
Rh  0.642  0.500  0.166



In terms of stability, 1 leads; the second structure lies 6.6 kJ/mol of atoms higher.



1:
# Na2Li2Rh

Na2Li2Rh after structural relaxation (PBE, Alexandria).

a b c (Å): 3.825 3.825 12.832
angles (deg): 90.00 90.00 90.00
Sites, in units of the cell vectors:
Na  0.000  0.500  0.250
Na  0.000  0.500  0.750
Na  0.500  0.000  0.250
Na  0.500  0.000  0.750
Li  0.000  0.000  0.080
Li  0.000  0.000  0.920
Li  0.500  0.500  0.420
Li  0.500  0.500  0.580
Rh  0.000  0.000  0.500
Rh  0.500  0.500  0.000



2:
# Na2Li2Rh

Na2Li2Rh after structural relaxation (PBE, Alexandria).

a b c (Å): 6.429 6.429 4.982
angles (deg): 90.00 90.00 90.00
Sites, in units of the cell vectors:
Na  0.192  0.308  0.000
Na  0.308  0.808  0.000
Na  0.692  0.192  0.000
Na  0.808  0.692  0.000
Li  0.151  0.651  0.500
Li  0.349  0.151  0.500
Li  0.651  0.849  0.500
Li  0.849  0.349  0.500
Rh  0.000  0.000  0.500
Rh  0.500  0.500  0.500



In terms of stability, 2 leads; the second structure lies 25.7 kJ/mol of atoms higher.



1:
# Na3LiRu

Na3LiRu after structural relaxation (PBE, Alexandria).

a b c (Å): 5.494 5.494 5.494
angles (deg): 90.00 90.00 90.00
Sites, in units of the cell vectors:
Na  0.000  0.000  0.500
Na  0.000  0.500  0.000
Na  0.500  0.000  0.000
Li  0.500  0.500  0.500
Ru  0.000  0.000  0.000



2:
# Na3LiRu

Na3LiRu after structural relaxation (PBE, Alexandria).

a b c (Å): 5.050 5.050 5.050
angles (deg): 90.00 90.00 90.00
Sites, in units of the cell vectors:
Na  0.000  0.000  0.500
Na  0.000  0.500  0.000
Na  0.500  0.000  0.000
Li  0.000  0.000  0.000
Ru  0.500  0.500  0.500



In terms of stability, 1 leads; the second structure lies 16.8 kJ/mol of atoms higher.